# 1
! BaLiNi2, relaxed, DFT GGA-PBE; values from VASP
&SYSTEM
  ibrav = 0, nat = 4, ntyp = 3
/
ATOMIC_SPECIES
Ba 137.33 Ba.upf
Li 6.94 Li.upf
Ni 58.69 Ni.upf
ATOMIC_POSITIONS angstrom
Ba 0.0000 0.0000 0.0000
Li 2.0938 0.0000 2.5766
Ni 0.0000 0.0000 4.4282
Ni 0.0000 2.7481 1.3543
CELL_PARAMETERS angstrom
-2.0938 2.7481 3.8990
2.0938 -2.7481 3.8990
2.0938 2.7481 -3.8990
! Calculated formation energy: 0.266 eV/atom
! E: -14.34 eV/cell
! Space group: Imm2 (44)
! Energy above the most stable polymorph in this dataset: 0.214 eV/atom
! Crystal system: orthorhombic



# 2
! BaLi2Ni, relaxed, DFT GGA-PBE; values from VASP
&SYSTEM
  ibrav = 0, nat = 4, ntyp = 3
/
ATOMIC_SPECIES
Ba 137.33 Ba.upf
Li 6.94 Li.upf
Ni 58.69 Ni.upf
ATOMIC_POSITIONS angstrom
Ba 0.0000 0.0000 0.0000
Li 0.1047 0.0000 3.5223
Li 2.1034 2.0352 3.2645
Ni 0.1003 2.0352 4.9827
CELL_PARAMETERS angstrom
4.0147 0.0000 0.0000
0.0000 4.0704 0.0000
-1.9080 0.0000 6.3876
! Calculated formation energy: 0.116 eV/atom
! E: -11.07 eV/cell
! Space group: Pm (6)
! Energy above the most stable polymorph in this dataset: 0.023 eV/atom
! Crystal system: monoclinic



# 3
! BaLiNi, relaxed, DFT GGA-PBE; values from VASP
&SYSTEM
  ibrav = 0, nat = 6, ntyp = 3
/
ATOMIC_SPECIES
Ba 137.33 Ba.upf
Li 6.94 Li.upf
Ni 58.69 Ni.upf
ATOMIC_POSITIONS angstrom
Ba 0.0060 0.6684 2.0021
Ba 2.0125 3.6092 3.5983
Li 1.7319 4.1713 0.2705
Li 0.2866 0.1063 5.3299
Ni -0.6369 3.5608 0.9344
Ni 2.6555 0.7168 4.6661
CELL_PARAMETERS angstrom
4.8047 0.0000 0.0000
-0.5759 5.9482 0.0000
-2.2103 -1.6705 5.6004
! Calculated formation energy: 0.085 eV/atom
! E: -18.73 eV/cell
! Space group: P-1 (2)
! Energy above the most stable polymorph in this dataset: 0.052 eV/atom
! Crystal system: triclinic



# 4
! BaLi2Ni, relaxed, DFT GGA-PBE; values from VASP
&SYSTEM
  ibrav = 0, nat = 4, ntyp = 3
/
ATOMIC_SPECIES
Ba 137.33 Ba.upf
Li 6.94 Li.upf
Ni 58.69 Ni.upf
ATOMIC_POSITIONS angstrom
Ba 0.0000 0.0000 0.0000
Li 0.0000 2.1488 2.7049
Li 2.1488 0.0000 2.7049
Ni 2.1488 2.1488 0.0000
CELL_PARAMETERS angstrom
4.2976 0.0000 0.0000
0.0000 4.2976 0.0000
0.0000 0.0000 5.4098
! Calculated formation energy: 0.256 eV/atom
! E: -10.51 eV/cell
! Space group: P4/mmm (123)
! Energy above the most stable polymorph in this dataset: 0.163 eV/atom
! Crystal system: tetragonal



# 5
! BaLi2Ni, relaxed, DFT GGA-PBE; values from VASP
&SYSTEM
  ibrav = 0, nat = 4, ntyp = 3
/
ATOMIC_SPECIES
Ba 137.33 Ba.upf
Li 6.94 Li.upf
Ni 58.69 Ni.upf
ATOMIC_POSITIONS angstrom
Ba 0.0000 0.0000 0.0000
Li 0.8478 0.0000 3.1924
Li 8.4893 0.0000 1.4753
Ni 4.6685 0.0000 2.3338
CELL_PARAMETERS angstrom
5.6933 -1.7852 0.0000
5.6933 1.7852 0.0000
-2.0496 0.0000 4.6677
! Calculated formation energy: 0.147 eV/atom
! E: -10.95 eV/cell
! Space group: C2/m (12)
! Energy above the most stable polymorph in this dataset: 0.053 eV/atom
! Crystal system: monoclinic



# 6
! Ba3LiNi, relaxed, DFT GGA-PBE; values from VASP
&SYSTEM
  ibrav = 0, nat = 10, ntyp = 3
/
ATOMIC_SPECIES
Ba 137.33 Ba.upf
Li 6.94 Li.upf
Ni 58.69 Ni.upf
ATOMIC_POSITIONS angstrom
Ba 0.0930 0.0000 2.5653
Ba 1.7201 2.1596 5.9036
Ba 1.1199 4.3163 9.7505
Ba 6.6740 2.1571 0.5295
Ba 6.0738 0.0004 4.3764
Ba 7.7010 2.1592 7.7147
Li 3.3708 2.1557 2.4764
Li 4.4231 4.3149 7.8036
Ni -0.7879 0.0048 5.5751
Ni 8.5818 2.1640 4.7049
CELL_PARAMETERS angstrom
9.7925 0.0000 0.0000
0.0000 4.3184 0.0000
-1.9986 0.0000 10.2800
! Calculated formation energy: 0.053 eV/atom
! E: -26.39 eV/cell
! Space group: P2_1 (4)
! Energy above the most stable polymorph in this dataset: 0.000 eV/atom
! Crystal system: monoclinic



# 7
! BaLiNi4, relaxed, DFT GGA-PBE; values from VASP
&SYSTEM
  ibrav = 0, nat = 6, ntyp = 3
/
ATOMIC_SPECIES
Ba 137.33 Ba.upf
Li 6.94 Li.upf
Ni 58.69 Ni.upf
ATOMIC_POSITIONS angstrom
Ba 0.0000 0.0000 0.0000
Li 5.4180 5.4180 5.4180
Ni 2.7208 2.7208 2.7208
Ni 4.5033 4.5033 2.7208
Ni 4.5033 2.7208 4.5033
Ni 2.7208 4.5033 4.5033
CELL_PARAMETERS angstrom
0.0000 3.6120 3.6120
3.6120 0.0000 3.6120
3.6120 3.6120 0.0000
! Calculated formation energy: 0.115 eV/atom
! E: -26.27 eV/cell
! Space group: F-43m (216)
! Crystal system: cubic



# 8
! BaLi2Ni, relaxed, DFT GGA-PBE; values from VASP
&SYSTEM
  ibrav = 0, nat = 4, ntyp = 3
/
ATOMIC_SPECIES
Ba 137.33 Ba.upf
Li 6.94 Li.upf
Ni 58.69 Ni.upf
ATOMIC_POSITIONS angstrom
Ba 0.0000 0.0000 0.0000
Li 1.4378 2.3371 1.6464
Li 1.4378 -2.3371 1.6464
Ni 2.8756 0.0000 0.0000
CELL_PARAMETERS angstrom
2.8756 -4.6742 0.0000
2.8756 4.6742 0.0000
0.0000 0.0000 3.2928
! Calculated formation energy: 0.458 eV/atom
! E: -9.70 eV/cell
! Space group: Cmmm (65)
! Energy above the most stable polymorph in this dataset: 0.365 eV/atom
! Crystal system: orthorhombic



# 9
! BaLiNi2, relaxed, DFT GGA-PBE; values from VASP
&SYSTEM
  ibrav = 0, nat = 4, ntyp = 3
/
ATOMIC_SPECIES
Ba 137.33 Ba.upf
Li 6.94 Li.upf
Ni 58.69 Ni.upf
ATOMIC_POSITIONS angstrom
Ba 0.0000 0.0000 0.0000
Li 2.2089 0.0000 1.9643
Ni 0.0000 0.0000 3.9286
Ni 0.0000 2.2089 1.9643
CELL_PARAMETERS angstrom
-2.2089 2.2089 3.9286
2.2089 -2.2089 3.9286
2.2089 2.2089 -3.9286
! Calculated formation energy: 0.420 eV/atom
! E: -13.72 eV/cell
! Space group: I-4m2 (119)
! Energy above the most stable polymorph in this dataset: 0.368 eV/atom
! Crystal system: tetragonal



# 10
! BaLiNi2, relaxed, DFT GGA-PBE; values from VASP
&SYSTEM
  ibrav = 0, nat = 8, ntyp = 3
/
ATOMIC_SPECIES
Ba 137.33 Ba.upf
Li 6.94 Li.upf
Ni 58.69 Ni.upf
ATOMIC_POSITIONS angstrom
Ba 2.3524 1.1762 2.0737
Ba 0.0000 1.1762 6.2210
Li 2.3524 -1.1762 6.2210
Li 0.0000 3.5286 2.0737
Ni 0.0000 0.0000 0.0000
Ni 1.1762 1.1762 -4.1474
Ni 1.1762 -1.1762 4.1474
Ni 0.0000 2.3524 0.0000
CELL_PARAMETERS angstrom
-2.3524 2.3524 8.2947
2.3524 -2.3524 8.2947
2.3524 2.3524 -8.2947
! Calculated formation energy: 0.223 eV/atom
! E: -29.02 eV/cell
! Space group: I4_1/amd (141)
! Energy above the most stable polymorph in this dataset: 0.171 eV/atom
! Crystal system: tetragonal



# 11
! BaLiNi2, relaxed, DFT GGA-PBE; values from VASP
&SYSTEM
  ibrav = 0, nat = 4, ntyp = 3
/
ATOMIC_SPECIES
Ba 137.33 Ba.upf
Li 6.94 Li.upf
Ni 58.69 Ni.upf
ATOMIC_POSITIONS angstrom
Ba 0.0000 0.0000 0.0000
Li 0.0050 2.0861 2.8703
Ni 2.1045 2.0861 1.4723
Ni 2.0892 0.0000 2.2863
CELL_PARAMETERS angstrom
4.2035 0.0000 0.0000
0.0000 4.1722 0.0000
-2.0710 0.0000 5.3710
! Calculated formation energy: 0.171 eV/atom
! E: -14.72 eV/cell
! Space group: Pm (6)
! Energy above the most stable polymorph in this dataset: 0.119 eV/atom
! Crystal system: monoclinic



# 12
! BaLiNi2, relaxed, DFT GGA-PBE; values from VASP
&SYSTEM
  ibrav = 0, nat = 4, ntyp = 3
/
ATOMIC_SPECIES
Ba 137.33 Ba.upf
Li 6.94 Li.upf
Ni 58.69 Ni.upf
ATOMIC_POSITIONS angstrom
Ba 0.0000 0.0000 0.0000
Li 1.9078 0.0000 2.4605
Ni 0.7935 2.1066 2.7772
Ni 3.0221 2.1066 2.1438
CELL_PARAMETERS angstrom
4.3963 0.0000 0.0000
0.0000 4.2132 0.0000
-0.5808 0.0000 4.9210
! Calculated formation energy: 0.246 eV/atom
! E: -14.41 eV/cell
! Space group: P2/m (10)
! Energy above the most stable polymorph in this dataset: 0.194 eV/atom
! Crystal system: monoclinic



# 13
! Ba3LiNi, relaxed, DFT GGA-PBE; values from VASP
&SYSTEM
  ibrav = 0, nat = 5, ntyp = 3
/
ATOMIC_SPECIES
Ba 137.33 Ba.upf
Li 6.94 Li.upf
Ni 58.69 Ni.upf
ATOMIC_POSITIONS angstrom
Ba 0.0000 0.0000 3.0709
Ba 0.0000 3.0709 0.0000
Ba 3.0709 0.0000 0.0000
Li 3.0709 3.0709 3.0709
Ni 0.0000 0.0000 0.0000
CELL_PARAMETERS angstrom
6.1419 0.0000 0.0000
0.0000 6.1419 0.0000
0.0000 0.0000 6.1419
! Calculated formation energy: 0.056 eV/atom
! E: -13.18 eV/cell
! Space group: Pm-3m (221)
! Energy above the most stable polymorph in this dataset: 0.003 eV/atom
! Crystal system: cubic



# 14
! BaLiNi2, relaxed, DFT GGA-PBE; values from VASP
&SYSTEM
  ibrav = 0, nat = 4, ntyp = 3
/
ATOMIC_SPECIES
Ba 137.33 Ba.upf
Li 6.94 Li.upf
Ni 58.69 Ni.upf
ATOMIC_POSITIONS angstrom
Ba 0.0000 0.0000 0.0000
Li 3.4653 3.4653 3.4653
Ni 1.7326 1.7326 1.7326
Ni 5.1979 5.1979 5.1979
CELL_PARAMETERS angstrom
0.0000 3.4653 3.4653
3.4653 0.0000 3.4653
3.4653 3.4653 0.0000
! Calculated formation energy: 0.490 eV/atom
! E: -13.44 eV/cell
! Space group: Fm-3m (225)
! Energy above the most stable polymorph in this dataset: 0.438 eV/atom
! Crystal system: cubic